[1]
Material: CdSi2Mo
Method: DFT, PBE
State: optimized geometry

Structure (CIF):
```
data_CdSi2Mo
_cell_length_a 8.4809
_cell_length_b 3.1620
_cell_length_c 5.2649
_cell_angle_alpha 90.00
_cell_angle_beta 100.11
_cell_angle_gamma 90.00
_symmetry_space_group_name_H-M 'C 1 2/m 1'
_symmetry_Int_Tables_number 12
_symmetry_space_group_name_Hall '-C 2y'
loop_
_atom_site_label
_atom_site_fract_x
_atom_site_fract_y
_atom_site_fract_z
Cd1 0.0000 0.0000 0.0000
Si1 0.2307 0.0000 0.6687
Mo1 0.0000 0.5000 0.5000
```

***

[2]
Material: CdSiMo
Method: DFT, PBE
State: optimized geometry

Properties
energy above the lowest structure with this stoichiometry	0.887	eV/f.u.

Structure (CIF):
```
data_CdSiMo
_cell_length_a 2.7921
_cell_length_b 2.7921
_cell_length_c 13.4063
_cell_angle_alpha 90.00
_cell_angle_beta 90.00
_cell_angle_gamma 90.00
_symmetry_space_group_name_H-M 'I 4 m m'
_symmetry_Int_Tables_number 107
_symmetry_space_group_name_Hall 'I 4 -2'
loop_
_atom_site_label
_atom_site_fract_x
_atom_site_fract_y
_atom_site_fract_z
Cd1 0.0000 0.0000 0.0000
Si1 0.0000 0.0000 0.6913
Mo1 0.0000 0.0000 0.3282
```

***

[3]
Material: CdSiMo
Method: DFT, PBE
State: optimized geometry

Properties
energy above the lowest structure with this stoichiometry	0.727	eV/f.u.

Structure (CIF):
```
data_CdSiMo
_cell_length_a 3.3743
_cell_length_b 4.5671
_cell_length_c 13.6873
_cell_angle_alpha 90.00
_cell_angle_beta 90.00
_cell_angle_gamma 90.00
_symmetry_space_group_name_H-M 'F m m 2'
_symmetry_Int_Tables_number 42
_symmetry_space_group_name_Hall 'F 2 -2'
loop_
_atom_site_label
_atom_site_fract_x
_atom_site_fract_y
_atom_site_fract_z
Cd1 0.0000 0.0000 0.0000
Si1 0.0000 0.0000 0.3087
Mo1 0.0000 0.0000 0.6745
```

***

Theoretical density (computed, g/cm³): 6.320, 7.513, 7.445
Formation energy (no corrections) (computed, kJ/mol of atoms): 13.6, 38.1, 33.0
Spin magnetization (computed, μB per cell): 0.000, 0.000, 0.000